DFT (GGA-PBE) results for K2LiTe3 after structural relaxation.

- Density of states at the Fermi level: 3.04 states/eV/f.u.
- Formation energy without anion corrections: -723 meV/atom
- Calculated volume: 448.07 Å³ per cell
- Total magnetization: 0.000 μB per atom

```
data_K2LiTe3
_chemical_formula_sum 'K4 Li2 Te6'
_cell_length_a 13.335
_cell_length_b 5.042
_cell_length_c 9.064
_cell_angle_alpha 90.00
_cell_angle_beta 132.67
_cell_angle_gamma 90.00
_space_group_name_H-M_alt 'C 1 m 1'
_space_group_IT_number 8
loop_
_space_group_symop_operation_xyz
'x,y,z'
'x,-y,z'
'x+1/2,y+1/2,z'
'x+1/2,-y+1/2,z'
loop_
_atom_site_label
_atom_site_type_symbol
_atom_site_fract_x
_atom_site_fract_y
_atom_site_fract_z
_atom_site_occupancy
K1 K 0.000 0.000 0.000 1
K2 K 0.044 0.500 0.535 1
Li1 Li 0.265 0.500 0.084 1
Te1 Te 0.271 0.000 0.988 1
Te2 Te 0.275 0.500 0.399 1
Te3 Te 0.276 0.000 0.554 1
```